No. 1
This record from Alexandria via LeMat-Bulk describes YU3As4 after structural relaxation. The functional is GGA-PBE.

## Properties
D(E_F), states/eV per atom: 1.86
Total energy, eV for the cell shown: -132.79
Mass density, Mg/m³: 9.4
DFT formation energy, kJ/mol of atoms: -90

a b c (Å): 8.2777 11.5861 4.0547
angles (deg): 90.00 90.00 90.00
Space group Cmmm (No. 65)
Inequivalent atoms, fractional coordinates:
Y1 0.0000 0.0000 0.0000 [2 per cell]
U1 0.0000 0.5000 0.0000 [2 per cell]
U2 0.2500 0.2500 0.5000 [4 per cell]
As1 0.0000 0.2498 0.0000 [4 per cell]
As2 0.2488 0.5000 0.5000 [4 per cell]



No. 2
This record from Alexandria via LeMat-Bulk describes YUAs2 after structural relaxation. The functional is GGA-PBE.

## Properties
ΔE to the lowest computed polymorph, eV/atom: 0.014
D(E_F), states/eV per atom: 1.71
Total energy, eV for the cell shown: -31.59
Mass density, Mg/m³: 8.1
DFT formation energy, kJ/mol of atoms: -109

a b c (Å): 4.1040 4.1040 5.7875
angles (deg): 90.00 90.00 90.00
Space group P4/mmm (No. 123)
Inequivalent atoms, fractional coordinates:
Y1 0.0000 0.0000 0.0000 [1 per cell]
U1 0.5000 0.5000 0.5000 [1 per cell]
As1 0.0000 0.0000 0.5000 [1 per cell]
As2 0.5000 0.5000 0.0000 [1 per cell]



No. 3
This record from Alexandria via LeMat-Bulk describes YZr2UAs4 after structural relaxation. The functional is GGA-PBE.

## Properties
D(E_F), states/eV per atom: 1.00
Total energy, eV for the cell shown: -62.58
Mass density, Mg/m³: 7.6
DFT formation energy, kJ/mol of atoms: -110

a b c (Å): 6.8954 3.9613 6.8956
angles (deg): 90.00 109.15 90.00
Space group P2/m (No. 10)
Inequivalent atoms, fractional coordinates:
Y1 0.0000 0.0000 0.0000 [1 per cell]
Zr1 0.0000 0.5000 0.5000 [1 per cell]
Zr2 0.5000 0.0000 0.5000 [1 per cell]
U1 0.5000 0.5000 0.0000 [1 per cell]
As1 0.2468 0.0000 0.7380 [2 per cell]
As2 0.2562 0.5000 0.2616 [2 per cell]



No. 4
This record from Alexandria via LeMat-Bulk describes Y2ZrUAs4 after structural relaxation. The functional is GGA-PBE.

## Properties
D(E_F), states/eV per atom: 0.90
Total energy, eV for the cell shown: -61.21
Mass density, Mg/m³: 7.2
DFT formation energy, kJ/mol of atoms: -119

a b c (Å): 6.9786 4.0319 7.0376
angles (deg): 90.00 109.08 90.00
Space group P2/m (No. 10)
Inequivalent atoms, fractional coordinates:
Y1 0.0000 0.0000 0.0000 [1 per cell]
Y2 0.5000 0.5000 0.0000 [1 per cell]
Zr1 0.0000 0.5000 0.5000 [1 per cell]
U1 0.5000 0.0000 0.5000 [1 per cell]
As1 0.2421 0.0000 0.7383 [2 per cell]
As2 0.2465 0.5000 0.2564 [2 per cell]



Q: Which of these has the highest DFT formation energy?
A: YU3As4



Q: Number 3 is which compound?
A: YZr2UAs4



Q: Number 3 is which compound?
A: YZr2UAs4